Compound: BaTi2Co2O7
Source: Alexandria
Functional: PBE+U
Structure: optimized geometry

## Properties
- Calculated volume: 13.108 Å³ per atom
- E_tot: -0.2787 hartree per atom

Unit cell a=8.5514 b=8.5514 c=8.5514 alpha=153.69 beta=44.05 gamma=145.32
Closest atoms and distances in Å follow each position.
Sites, in units of the cell vectors:
Ba (0.0000, 0.0000, 0.0000)  8 O 2.73-2.91
Ti (0.3932, 0.0082, 0.3850)  5 O 1.80-1.97
Ti (0.6232, 0.0082, 0.6150)  5 O 1.80-1.97
Co (0.2937, 0.5534, 0.7403)  5 O 2.04-2.22
Co (0.8131, 0.5534, 0.2597)  5 O 2.04-2.22
O (0.0390, 0.6545, 0.3845)  1 Ti 1.80
O (0.2701, 0.6545, 0.6155)  1 Ti 1.80
O (0.4193, 0.1495, 0.2698)  1 Ti 1.96, 3 Co 2.06-2.07
O (0.4490, 0.5689, 0.8801)  2 Ti 1.97
O (0.6258, 0.1258, 0.5000)  2 Ti 1.92
O (0.6887, 0.5689, 0.1199)  2 Ti 1.97
O (0.8796, 0.1495, 0.7302)  1 Ti 1.96, 3 Co 2.06-2.07